(1)
Material: NaSc3Pt
Method: DFT, PBE
State: optimized geometry

Cell lengths 5.1901, 5.1901, 5.1901 Å; angles 90.00, 90.00, 90.00 degrees
With the nearest neighbours (Å) after each atom.
Space group Pm-3m (No. 221)
Inequivalent atoms, fractional coordinates:
Na  0.0000  0.0000  0.0000 [1 per cell]  12 Sc 3.67
Sc  0.0000  0.5000  0.5000 [3 per cell]  2 Pt 2.60
Pt  0.5000  0.5000  0.5000 [1 per cell]  6 Sc 2.60

Computed properties:
ΔE to the lowest computed polymorph = 0.000 eV per formula unit
Total energy = -5.50 eV/atom
Total magnetic moment = 0.0 μB/f.u.


(2)
Material: NaSc3Pt
Method: DFT, PBE
State: optimized geometry

Cell lengths 4.9354, 4.9354, 4.9354 Å; angles 90.00, 90.00, 90.00 degrees
With the nearest neighbours (Å) after each atom.
Space group Pm-3m (No. 221)
Inequivalent atoms, fractional coordinates:
Na  0.0000  0.0000  0.0000 [1 per cell]  6 Sc 2.47
Sc  0.0000  0.0000  0.5000 [3 per cell]  2 Na 2.47
Pt  0.5000  0.5000  0.5000 [1 per cell]  12 Sc 3.49

Computed properties:
ΔE to the lowest computed polymorph = 6.341 eV per formula unit
Total energy = -4.23 eV/atom
Total magnetic moment = 2.4 μB/f.u.


(3)
Material: Na2ScPt
Method: DFT, PBE
State: optimized geometry

Cell lengths 6.8802, 6.8802, 6.8802 Å; angles 90.00, 90.00, 90.00 degrees
With the nearest neighbours (Å) after each atom.
Space group Fm-3m (No. 225)
Inequivalent atoms, fractional coordinates:
Na  0.2500  0.2500  0.2500 [8 per cell]  4 Sc 2.98, 4 Pt 2.98
Sc  0.0000  0.0000  0.0000 [4 per cell]  8 Na 2.98
Pt  0.0000  0.0000  0.5000 [4 per cell]  8 Na 2.98

Computed properties:
ΔE to the lowest computed polymorph = 1.359 eV per formula unit
Total energy = -3.58 eV/atom
Total magnetic moment = 0.7 μB/f.u.


(4)
Material: NaSc2TaPt
Method: DFT, PBE
State: optimized geometry

Cell lengths 5.1833, 5.1833, 4.9714 Å; angles 90.00, 90.00, 90.00 degrees
With the nearest neighbours (Å) after each atom.
Space group P4/mmm (No. 123)
Inequivalent atoms, fractional coordinates:
Na  0.0000  0.0000  0.0000 [1 per cell]  8 Sc 3.59, 4 Ta 3.67
Sc  0.0000  0.5000  0.5000 [2 per cell]  2 Pt 2.59
Ta  0.5000  0.5000  0.0000 [1 per cell]  2 Pt 2.49
Pt  0.5000  0.5000  0.5000 [1 per cell]  2 Ta 2.49, 4 Sc 2.59

Computed properties:
Total energy = -6.11 eV/atom
Total magnetic moment = 0.0 μB/f.u.


(5)
Material: NaScTaPt2
Method: DFT, PBE
State: optimized geometry

Cell lengths 4.7450, 4.7450, 4.5036 Å; angles 90.00, 90.00, 90.00 degrees
With the nearest neighbours (Å) after each atom.
Space group P4/mmm (No. 123)
Inequivalent atoms, fractional coordinates:
Na  0.0000  0.0000  0.0000 [1 per cell]  2 Sc 2.25
Sc  0.0000  0.0000  0.5000 [1 per cell]  2 Na 2.25, 4 Pt 2.37
Ta  0.5000  0.5000  0.0000 [1 per cell]  8 Pt 3.27, 4 Na 3.36
Pt  0.0000  0.5000  0.5000 [2 per cell]  2 Sc 2.37

Computed properties:
Total energy = -5.39 eV/atom
Total magnetic moment = 0.0 μB/f.u.


(6)
Material: Na2ScTcPt
Method: DFT, PBE
State: optimized geometry

Cell lengths 5.1899, 5.1899, 5.0270 Å; angles 90.00, 90.00, 90.00 degrees
With the nearest neighbours (Å) after each atom.
Space group P4/mmm (No. 123)
Inequivalent atoms, fractional coordinates:
Na  0.0000  0.5000  0.0000 [2 per cell]  2 Pt 2.59
Sc  0.0000  0.0000  0.5000 [1 per cell]  2 Pt 2.51
Tc  0.5000  0.5000  0.5000 [1 per cell]  8 Na 3.61, 4 Sc 3.67
Pt  0.0000  0.0000  0.0000 [1 per cell]  2 Sc 2.51, 4 Na 2.59

Computed properties:
Total energy = -4.22 eV/atom
Total magnetic moment = 3.1 μB/f.u.


(7)
Material: NaScPt2W
Method: DFT, PBE
State: optimized geometry

Cell lengths 4.8450, 4.8450, 4.9904 Å; angles 90.00, 90.00, 90.00 degrees
With the nearest neighbours (Å) after each atom.
Space group P4/mmm (No. 123)
Inequivalent atoms, fractional coordinates:
Na  0.0000  0.0000  0.0000 [1 per cell]  2 W 2.50
Sc  0.5000  0.5000  0.0000 [1 per cell]  4 Na 3.43, 8 Pt 3.48
Pt  0.0000  0.5000  0.5000 [2 per cell]  2 W 2.42
W  0.0000  0.0000  0.5000 [1 per cell]  4 Pt 2.42, 2 Na 2.50

Computed properties:
Total energy = -5.73 eV/atom
Total magnetic moment = 0.4 μB/f.u.


(8)
Material: NaZrSc2Pt
Method: DFT, PBE
State: optimized geometry

Cell lengths 4.9043, 4.9043, 4.9990 Å; angles 90.00, 90.00, 90.00 degrees
With the nearest neighbours (Å) after each atom.
Space group P4/mmm (No. 123)
Inequivalent atoms, fractional coordinates:
Na  0.0000  0.0000  0.0000 [1 per cell]  2 Zr 2.50
Zr  0.0000  0.0000  0.5000 [1 per cell]  4 Sc 2.45, 2 Na 2.50
Sc  0.0000  0.5000  0.5000 [2 per cell]  2 Zr 2.45
Pt  0.5000  0.5000  0.0000 [1 per cell]  4 Na 3.47, 8 Sc 3.50

Computed properties:
Total energy = -4.61 eV/atom
Total magnetic moment = 0.0 μB/f.u.


(9)
Material: NaPtSe
Method: DFT, PBE
State: optimized geometry

Cell lengths 4.8682, 3.7445, 7.8823 Å; angles 90.00, 104.29, 90.00 degrees
With the nearest neighbours (Å) after each atom.
Space group Pm (No. 6)
Inequivalent atoms, fractional coordinates:
Na  0.0000  0.0000  0.0000 [1 per cell]  5 Pt 3.21-3.37, 4 Se 3.29, 1 Na 3.49
Na  0.0913  0.0000  0.5751 [1 per cell]  4 Pt 2.96-3.04, 4 Se 3.07
Pt  0.4551  0.5000  0.8418 [1 per cell]  2 Se 2.39-2.41
Pt  0.5067  0.0000  0.3486 [1 per cell]  4 Se 2.48-2.51
Se  0.5624  0.5000  0.1540 [1 per cell]  3 Pt 2.39-2.48
Se  0.5885  0.5000  0.5673 [1 per cell]  3 Pt 2.41-2.51

Computed properties:
ΔE to the lowest computed polymorph = 0.169 eV per formula unit
Total energy = -4.15 eV/atom
Formation energy from raw total energies = -1.62 eV/f.u.
Total magnetic moment = 0.0 μB/f.u.


(10)
Material: Na3PtSe
Method: DFT, PBE
State: optimized geometry

Cell lengths 5.4124, 5.4124, 5.4124 Å; angles 90.00, 90.00, 90.00 degrees
With the nearest neighbours (Å) after each atom.
Space group Pm-3m (No. 221)
Inequivalent atoms, fractional coordinates:
Na  0.0000  0.0000  0.5000 [3 per cell]  2 Se 2.71
Pt  0.5000  0.5000  0.5000 [1 per cell]  12 Na 3.83
Se  0.0000  0.0000  0.0000 [1 per cell]  6 Na 2.71

Computed properties:
ΔE to the lowest computed polymorph = 0.000 eV per formula unit
Total energy = -2.76 eV/atom
Formation energy from raw total energies = -0.33 eV/f.u.
Total magnetic moment = 1.0 μB/f.u.


(11)
Material: NaPtSe
Method: DFT, PBE
State: optimized geometry

Cell lengths 11.5469, 4.4655, 7.5810 Å; angles 90.00, 130.99, 90.00 degrees
With the nearest neighbours (Å) after each atom.
Space group C2/m (No. 12)
Inequivalent atoms, fractional coordinates:
Na  0.2442  0.0000  0.2437 [4 per cell]  2 Se 3.05-3.06, 4 Pt 3.26-3.42
Pt  0.0000  0.0000  0.3266 [4 per cell]  2 Se 2.36, 1 Pt 2.63
Se  0.0007  0.5000  0.2253 [4 per cell]  2 Pt 2.36

Computed properties:
ΔE to the lowest computed polymorph = 0.560 eV per formula unit
Total energy = -4.02 eV/atom
Formation energy from raw total energies = -1.23 eV/f.u.
Total magnetic moment = 0.0 μB/f.u.


(12)
Material: NaPtSe2
Method: DFT, PBE
State: optimized geometry

Cell lengths 3.8850, 3.8850, 20.5362 Å; angles 90.00, 90.00, 120.00 degrees
With the nearest neighbours (Å) after each atom.
Space group R3m (No. 160, hexagonal axes)
Inequivalent atoms, fractional coordinates:
Na  0.0000  0.0000  0.0000 [3 per cell]  6 Se 3.08-3.10, 1 Pt 3.41
Pt  0.0000  0.0000  0.1658 [3 per cell]  6 Se 2.59
Se  0.0000  0.0000  0.5624 [3 per cell]  3 Pt 2.59
Se  0.0000  0.0000  0.7697 [3 per cell]  3 Pt 2.59

Computed properties:
Total energy = -4.11 eV/atom
Formation energy from raw total energies = -2.11 eV/f.u.
Total magnetic moment = 0.0 μB/f.u.


(13)
Material: NaPtSe
Method: DFT, PBE
State: optimized geometry

Cell lengths 5.1769, 3.7799, 7.3563 Å; angles 90.00, 101.80, 90.00 degrees
With the nearest neighbours (Å) after each atom.
Space group P2/m (No. 10)
Inequivalent atoms, fractional coordinates:
Na  0.1337  0.0000  0.2743 [2 per cell]  3 Pt 2.94-3.04, 2 Se 3.05
Pt  0.5000  0.0000  0.0000 [1 per cell]  4 Se 2.50
Pt  0.5000  0.5000  0.5000 [1 per cell]  2 Se 2.40
Se  0.3393  0.5000  0.7838 [2 per cell]  3 Pt 2.40-2.50

Computed properties:
ΔE to the lowest computed polymorph = 0.000 eV per formula unit
Total energy = -4.21 eV/atom
Formation energy from raw total energies = -1.79 eV/f.u.
Total magnetic moment = 0.0 μB/f.u.


(14)
Material: Na2PtSe4
Method: DFT, PBE
State: optimized geometry

Cell lengths 5.1875, 5.1875, 14.1983 Å; angles 90.00, 90.00, 90.00 degrees
With the nearest neighbours (Å) after each atom.
Space group I4/mmm (No. 139)
Inequivalent atoms, fractional coordinates:
Na  0.0000  0.0000  0.1234 [4 per cell]  5 Se 2.94-3.13
Pt  0.0000  0.0000  0.5000 [2 per cell]  6 Se 2.40-2.59
Se  0.0000  0.0000  0.3306 [4 per cell]  1 Pt 2.40
Se  0.0000  0.5000  0.0000 [4 per cell]  2 Pt 2.59

Computed properties:
Total energy = -3.46 eV/atom
Formation energy from raw total energies = -1.61 eV/f.u.
Total magnetic moment = 1.2 μB/f.u.


(15)
Material: NaPt4Se8
Method: DFT, PBE
State: optimized geometry

Cell lengths 7.5419, 7.5419, 21.2694 Å; angles 90.00, 90.00, 120.00 degrees
With the nearest neighbours (Å) after each atom.
Space group R-3m (No. 166, hexagonal axes)
Inequivalent atoms, fractional coordinates:
Na  0.0000  0.0000  0.0000 [3 per cell]  6 Se 3.09
Pt  0.0000  0.0000  0.5000 [3 per cell]  6 Se 2.57
Pt  0.0000  0.5000  0.5000 [9 per cell]  6 Se 2.53-2.54
Se  0.0000  0.0000  0.2283 [6 per cell]  3 Pt 2.54
Se  0.0053  0.5026  0.7716 [18 per cell]  3 Pt 2.53-2.57

Computed properties:
Total energy = -4.56 eV/atom
Formation energy from raw total energies = -5.88 eV/f.u.
Total magnetic moment = 0.0 μB/f.u.


(16)
Material: NaPt3Se
Method: DFT, PBE
State: optimized geometry

Cell lengths 4.6697, 4.6697, 4.6697 Å; angles 90.00, 90.00, 90.00 degrees
With the nearest neighbours (Å) after each atom.
Space group Pm-3m (No. 221)
Inequivalent atoms, fractional coordinates:
Na  0.0000  0.0000  0.0000 [1 per cell]  6 Pt 2.33
Pt  0.0000  0.0000  0.5000 [3 per cell]  2 Na 2.33
Se  0.5000  0.5000  0.5000 [1 per cell]  12 Pt 3.30

Computed properties:
ΔE to the lowest computed polymorph = 6.498 eV per formula unit
Total energy = -3.05 eV/atom
Formation energy from raw total energies = 7.69 eV/f.u.
Total magnetic moment = 0.0 μB/f.u.


(17)
Material: NaPt3Se
Method: DFT, PBE
State: optimized geometry

Cell lengths 4.7560, 4.7560, 4.7560 Å; angles 90.00, 90.00, 90.00 degrees
With the nearest neighbours (Å) after each atom.
Space group Pm-3m (No. 221)
Inequivalent atoms, fractional coordinates:
Na  0.0000  0.0000  0.0000 [1 per cell]  12 Pt 3.36
Pt  0.0000  0.5000  0.5000 [3 per cell]  2 Se 2.38
Se  0.5000  0.5000  0.5000 [1 per cell]  6 Pt 2.38

Computed properties:
ΔE to the lowest computed polymorph = 0.000 eV per formula unit
Total energy = -4.35 eV/atom
Formation energy from raw total energies = 1.19 eV/f.u.
Total magnetic moment = 0.0 μB/f.u.


(18)
Material: Na3PtSe2
Method: DFT, PBE
State: optimized geometry

Cell lengths 6.2002, 14.7818, 5.7473 Å; angles 90.00, 90.00, 90.00 degrees
With the nearest neighbours (Å) after each atom.
Space group Ibam (No. 72)
Inequivalent atoms, fractional coordinates:
Na  0.0000  0.0000  0.2500 [4 per cell]  4 Se 2.83, 2 Na 2.87, 2 Pt 3.10
Na  0.2240  0.3251  0.0000 [8 per cell]  4 Se 2.95-3.01, 2 Pt 3.27
Pt  0.0000  0.5000  0.2500 [4 per cell]  4 Se 2.73, 2 Pt 2.87
Se  0.2357  0.3777  0.5000 [8 per cell]  2 Pt 2.73, 6 Na 2.83-3.01

Computed properties:
Total energy = -3.46 eV/atom
Formation energy from raw total energies = -3.78 eV/f.u.
Total magnetic moment = 0.2 μB/f.u.


(19)
Material: NaPtSe
Method: DFT, PBE
State: optimized geometry

Cell lengths 4.2238, 4.2238, 4.3918 Å; angles 90.00, 90.00, 120.00 degrees
With the nearest neighbours (Å) after each atom.
Space group P-6m2 (No. 187)
Inequivalent atoms, fractional coordinates:
Na  0.0000  0.0000  0.0000 [1 per cell]  6 Pt 3.28, 6 Se 3.28
Pt  0.3333  0.6667  0.5000 [1 per cell]  3 Se 2.44
Se  0.6667  0.3333  0.5000 [1 per cell]  3 Pt 2.44

Computed properties:
ΔE to the lowest computed polymorph = 0.333 eV per formula unit
Total energy = -4.10 eV/atom
Formation energy from raw total energies = -1.45 eV/f.u.
Total magnetic moment = 0.0 μB/f.u.


(20)
Material: NaPt2Se3
Method: DFT, PBE
State: optimized geometry

Cell lengths 7.5356, 7.5356, 5.7897 Å; angles 90.00, 90.00, 120.00 degrees
With the nearest neighbours (Å) after each atom.
Space group P-3m1 (No. 164)
Inequivalent atoms, fractional coordinates:
Na  0.3333  0.6667  0.1315 [2 per cell]  3 Pt 3.05, 3 Se 3.22
Pt  0.0000  0.0000  0.5000 [1 per cell]  6 Se 2.55
Pt  0.0000  0.5000  0.5000 [3 per cell]  4 Se 2.47
Se  0.1711  0.3422  0.7124 [6 per cell]  3 Pt 2.47-2.55

Computed properties:
Total energy = -4.56 eV/atom
Formation energy from raw total energies = -3.53 eV/f.u.
Total magnetic moment = 0.0 μB/f.u.